20
Lattice="5.294 -5.640 0.000 5.294 5.640 0.000 -2.233 0.000 5.556" Properties=species:S:1:pos:R:3 comment="PBE+U KV2CuO6, relaxed" dft_energy_ev_per_atom=-6.690 vol_a3_per_atom=16.59 pbc="T T T"
K 3.619 4.400 4.167
K 4.735 -4.400 1.389
V 1.455 0.912 4.615
V 2.571 -0.912 1.837
V 5.783 0.912 3.719
V 6.900 -0.912 0.941
Cu 4.735 3.111 1.389
Cu 3.619 -3.111 4.167
O -0.120 1.216 4.032
O 2.145 2.348 5.205
O 0.997 -1.216 1.254
O 2.412 0.288 3.185
O 3.529 -0.288 0.407
O 5.093 2.348 3.129
O 3.261 -2.348 2.427
O 4.825 0.288 5.149
O 5.942 -0.288 2.371
O 7.357 1.216 4.302
O 6.210 -2.348 0.351
O 8.474 -1.216 1.524